No. 1
Pm2CdPd9 after structural relaxation. Source: Alexandria via LeMat-Bulk, functional GGA-PBE.

Unit cell a=4.144 b=4.144 c=12.362 alpha=90.00 beta=90.00 gamma=90.00
Positions (direct):
Pd 0.500 0.000 0.159
Pd 0.500 0.000 0.841
Pd 0.000 0.500 0.500
Pd 0.500 0.500 0.669
Pd 0.500 0.500 0.331
Pd 0.000 0.500 0.159
Pd 0.500 0.000 0.500
Pd 0.500 0.500 0.000
Pd 0.000 0.500 0.841
Cd 0.000 0.000 0.000
Pm 0.000 0.000 0.327
Pm 0.000 0.000 0.673

Output
V ... 17.69 Å³ per atom
VASP energy ... -5.36 eV/atom

=====

No. 2
Pm4CdPd7 after structural relaxation. Source: Alexandria via LeMat-Bulk, functional GGA-PBE.

Unit cell a=5.333 b=9.660 c=6.023 alpha=81.66 beta=63.72 gamma=73.98
Positions (direct):
Pd 0.368 0.522 0.742
Pd 0.500 0.000 0.000
Pd 0.632 0.478 0.258
Pd 0.078 0.694 0.151
Pd 0.922 0.306 0.849
Pd 0.210 0.097 0.483
Pd 0.790 0.903 0.517
Pm 0.793 0.629 0.784
Pm 0.598 0.208 0.596
Pm 0.402 0.792 0.404
Pm 0.207 0.371 0.216
Cd 0.000 0.000 0.000

Output
V ... 22.28 Å³ per atom
VASP energy ... -5.29 eV/atom

=====

No. 3
Pm2Cd3Pd2 after structural relaxation. Source: Alexandria via LeMat-Bulk, functional GGA-PBE.

Unit cell a=4.038 b=5.589 c=7.766 alpha=94.35 beta=90.00 gamma=111.18
Positions (direct):
Cd 0.314 0.628 0.128
Cd 0.000 0.000 0.000
Cd 0.686 0.372 0.872
Pm 0.624 0.248 0.346
Pm 0.376 0.752 0.654
Pd 0.092 0.184 0.639
Pd 0.908 0.816 0.361

Output
V ... 23.27 Å³ per atom
VASP energy ... -3.78 eV/atom

=====

No. 4
PmCd6Pd after structural relaxation. Source: Alexandria via LeMat-Bulk, functional GGA-PBE.

Unit cell a=4.842 b=5.833 c=7.165 alpha=114.02 beta=90.00 gamma=90.00
Positions (direct):
Pd 0.500 0.129 0.257
Cd 0.500 0.193 0.873
Cd 0.000 0.330 0.155
Cd 0.500 0.680 0.873
Cd 0.000 0.861 0.722
Cd 0.000 0.825 0.155
Cd 0.000 0.282 0.563
Pm 0.500 0.701 0.401

Output
V ... 23.10 Å³ per atom
VASP energy ... -2.14 eV/atom

=====

No. 5
Pm2Cd3Pd5 after structural relaxation. Source: Alexandria via LeMat-Bulk, functional GGA-PBE.

Unit cell a=5.733 b=9.097 c=9.097 alpha=90.37 beta=71.63 gamma=71.63
Positions (direct):
Pm 0.625 0.094 0.656
Pm 0.375 0.906 0.344
Pm 0.125 0.656 0.094
Pm 0.875 0.344 0.906
Pd 0.997 0.753 0.753
Pd 0.503 0.247 0.247
Pd 0.365 0.287 0.982
Pd 0.497 0.753 0.753
Pd 0.865 0.982 0.287
Pd 0.750 0.500 0.500
Pd 0.135 0.018 0.713
Pd 0.635 0.713 0.018
Pd 0.003 0.247 0.247
Pd 0.250 0.500 0.500
Cd 0.750 0.000 0.000
Cd 0.384 0.476 0.756
Cd 0.250 0.000 0.000
Cd 0.116 0.244 0.524
Cd 0.884 0.756 0.476
Cd 0.616 0.524 0.244

Output
V ... 21.22 Å³ per atom
VASP energy ... -4.28 eV/atom

=====

No. 6
PmCd9Pd2 after structural relaxation. Source: Alexandria via LeMat-Bulk, functional GGA-PBE.

Unit cell a=7.543 b=9.107 c=9.107 alpha=80.12 beta=65.54 gamma=65.54
Positions (direct):
Pd 0.375 0.750 0.750
Pd 0.875 0.250 0.750
Pd 0.875 0.250 0.250
Pd 0.875 0.750 0.250
Cd 0.146 0.181 0.422
Cd 0.750 0.500 0.500
Cd 0.604 0.078 0.319
Cd 0.318 0.078 0.681
Cd 0.318 0.681 0.078
Cd 0.432 0.422 0.819
Cd 0.001 0.681 0.922
Cd 0.077 0.922 0.319
Cd 0.604 0.319 0.078
Cd 0.673 0.181 0.578
Cd 0.077 0.319 0.922
Cd 0.432 0.819 0.422
Cd 0.000 0.000 0.000
Cd 0.673 0.578 0.181
Cd 0.749 0.578 0.819
Cd 0.001 0.922 0.681
Cd 0.146 0.422 0.181
Cd 0.749 0.819 0.578
Pm 0.250 0.500 0.500
Pm 0.500 0.000 0.000

Output
V ... 21.59 Å³ per atom
VASP energy ... -2.19 eV/atom

=====

Ρ
In order: 10.642, 8.928, 8.563, 8.318, 9.072, 8.776
Unit: Mg/m³